# BaTe2RuI

An optimized crystal structure of BaTe2RuI (PBE, Alexandria via LeMat-Bulk).

Results
ΔE_f (raw) in kJ per mole of atoms: 95
M_tot in Bohr magnetons per cell: 4.57
Final energy in eV/atom: -2.8178

Unit cell a=6.5353 b=6.5353 c=6.5018 alpha=90.00 beta=90.00 gamma=90.00
Fractional positions:
I: 0.0000 0.0000 0.5000
Ru: 0.5000 0.5000 0.5000
Te: 0.0000 0.5000 0.0000
Te: 0.5000 0.0000 0.0000
Ba: 0.0000 0.0000 0.0000